Here is a geometry-optimized Ca2AgSe structure from the Alexandria database. Energies are from PBE-GGA.

Magnetization, μB/f.u.: 0.00
ΔE_f (raw), kJ/mol of formula units: -360.0
Space-group type: Imm2

Lattice parameters (Å, degrees): 7.799 7.799 7.799 151.59 149.90 41.87
Positions (direct):
Ca 0.000 0.000 0.000
Ca 0.738 0.238 0.500
Ag 0.334 0.834 0.500
Se 0.578 0.578 0.000